DFT (GGA+U) results for V2FeMoO6 after structural relaxation.

Cell: 5.275 5.238 5.618 Å, 62.26 62.56 59.54°
Each line ends with the local moment (μB).
Atoms (fractional coordinates):
V1 0.518 0.517 0.446  1.95
O1 0.122 0.402 0.746  0.03
O2 0.245 0.914 0.233  -0.02
V2 0.012 0.013 0.960  1.92
O3 0.913 0.614 0.242  0.01
O4 0.396 0.719 0.752  0.01
O5 0.619 0.227 0.253  0.01
Fe1 0.806 0.804 0.577  3.78
Mo1 0.312 0.317 0.051  1.95
O6 0.719 0.132 0.757  0.00

Results
VASP energy	-7.53	eV/atom
V	113.2	Å³ per cell